Material: TlAgSe2Br
Method: DFT, PBE
State: relaxed

It has space group P4/mmm (No. 123), with a = 5.1209 Å, b = 5.1209 Å, c = 5.6040 Å, α = 90.00°, β = 90.00° and γ = 90.00°. The asymmetric unit holds Tl at (0.0000, 0.0000, 0.0000), Ag at (0.5000, 0.5000, 0.5000), Se at (0.0000, 0.5000, 0.5000) and Br at (0.5000, 0.5000, 0.0000).

The calculation puts the volume at 29.39 Å³ per atom. The value obtained for the energy above the most stable polymorph in this dataset is 0.0 meV per atom.

Material: Er8Ge3Te4C
Method: DFT, PBE
State: relaxed

It has space group R-3m (No. 166, hexagonal axes), with a = 8.2258 Å, b = 8.2258 Å, c = 21.0328 Å, α = 90.00°, β = 90.00° and γ = 120.00°. The asymmetric unit holds Er at (0.0000, 0.0000, 0.2406), Er at (0.0241, 0.5121, 0.2348), Ge at (0.0000, 0.5000, 0.5000), Te at (0.0000, 0.0000, 0.0000), Te at (0.0000, 0.5000, 0.0000) and C at (0.0000, 0.0000, 0.5000).

The calculation puts the volume at 25.68 Å³ per atom.

For each record above, in turn, the calculated energy relative to the elements, uncorrected values are 0.444 -16.797 eV/f.u..